Computed, not measured: a geometry-optimized Li2HfSn4 structure at the GGA-PBE level of DFT.

ρ = 5.157 g/cm3
DFT formation energy = 0.1397 eV/atom
final energy = -4.1164 eV/atom

abc: 8.1315 8.1315 8.1315
angles: 140.60 140.60 56.95
Closest atoms and distances in Å follow each position.
Fractional coordinates of all 7 atoms:
Li: 0.1086 0.1086 0.0000  1 Sn 2.81, 1 Li 3.10
Li: 0.8914 0.8914 0.0000  1 Sn 2.81, 1 Li 3.10
Hf: 0.5000 0.5000 0.0000  6 Sn 2.74-2.79
Sn: 0.0000 0.5000 0.5000  2 Hf 2.74
Sn: 0.3048 0.3048 0.0000  1 Hf 2.79, 1 Li 2.81
Sn: 0.5000 0.0000 0.5000  2 Hf 2.74
Sn: 0.6952 0.6952 0.0000  1 Hf 2.79, 1 Li 2.81